# 1
Material: ZrCuAgGe
Method: DFT, GGA-PBE
State: optimized geometry

Cell lengths 6.5146, 6.5146, 6.5146 Å; angles 90.00, 90.00, 90.00 degrees
Space group F-43m (No. 216)
Unique sites:
Zr  0.0000  0.0000  0.0000
Cu  0.0000  0.0000  0.5000
Ag  0.2500  0.2500  0.7500
Ge  0.2500  0.2500  0.2500

- total magnetic moment (Bohr magnetons per cell) = 0.00
- density (g/cm3) = 8.1
- polymorph energy (0 for the lowest one) (eV/atom) = 0.000
- electronic total energy (eV per atom) = -5.026
- V (A^3/atom) = 17.28

=====

# 2
Material: RbTbAgTe3
Method: DFT, GGA-PBE
State: optimized geometry

Cell lengths 4.3081, 16.9132, 11.3902 Å; angles 90.00, 90.00, 90.00 degrees
Space group Cmcm (No. 63)
Unique sites:
Rb  0.0000  0.2466  0.2500
Tb  0.0000  0.0000  0.0000
Ag  0.0000  0.4649  0.7500
Te  0.0000  0.0743  0.7500
Te  0.0000  0.3723  0.5480

- total magnetic moment (Bohr magnetons per cell) = 0.02
- density (g/cm3) = 5.9
- electronic total energy (eV per atom) = -3.891
- V (A^3/atom) = 34.58

=====

- total magnetic moment of number 1 (ZrCuAgGe)?
  0.00 Bohr magnetons per cell